Density functional theory data (PBE) for a relaxed Dy2Ho5Er2 crystal.

Cell: 14.7470 11.5876 6.6549 Å, 90.00 90.00 90.00°
Space group Ima2 (No. 46)
Unique sites:
Dy (0.0000, 0.0000, 0.0000)
Dy (0.2500, 0.0135, 0.8990)
Ho (0.0524, 0.7444, 0.3009)
Ho (0.1427, 0.2386, 0.1206)
Ho (0.2500, 0.7443, 0.6100)
Er (0.1273, 0.5055, 0.9517)

As for the formation energy from the elements: 0.2326 eV/atom.